Computed, not measured: an optimized crystal structure of Y2MnP at the PBE level of DFT.

a = 7.3015 Å, b = 7.3015 Å, c = 7.3015 Å
α = 31.22°, β = 31.22°, γ = 31.22°
Positions (direct):
1 Y 0.0000 0.0000 0.0000
2 Y 0.1805 0.1805 0.1805
3 Mn 0.7587 0.7587 0.7587
4 P 0.4208 0.4208 0.4208

Values from the calculation:
E_form = -0.5652 eV per atom
Mass density = 4.719 g/cm3
Calculated total energy = -7.442 eV per atom
V = 92.8 Å³ per cell
Magnetization = 1.86 μB/f.u.

Computed, not measured: an optimized crystal structure of Y2MnP at the PBE level of DFT.

a = 6.1303 Å, b = 6.1303 Å, c = 6.1303 Å
α = 106.33°, β = 106.33°, γ = 115.95°
Positions (direct):
1 Y 0.1219 0.6250 0.9969
2 Y 0.3750 0.3719 0.4969
3 Y 0.6281 0.1250 0.0031
4 Y 0.8750 0.8781 0.5031
5 Mn 0.0000 0.0000 0.0000
6 Mn 0.7500 0.2500 0.5000
7 P 0.2500 0.7500 0.5000
8 P 0.5000 0.5000 0.0000

Values from the calculation:
E_form = 0.1688 eV per atom
Mass density = 4.987 g/cm3
Calculated total energy = -6.708 eV per atom
V = 175.6 Å³ per cell
Magnetization = 0.08 μB/f.u.

Computed, not measured: an optimized crystal structure of Y4MnP at the PBE level of DFT.

a = 6.1886 Å, b = 6.1886 Å, c = 6.1886 Å
α = 60.00°, β = 60.00°, γ = 60.00°
Positions (direct):
1 Y 0.1244 0.1244 0.1244
2 Y 0.1244 0.1244 0.6267
3 Y 0.1244 0.6267 0.1244
4 Y 0.6267 0.1244 0.1244
5 Mn 0.7500 0.7500 0.7500
6 P 0.5000 0.5000 0.5000

Values from the calculation:
E_form = 0.6945 eV per atom
Mass density = 4.375 g/cm3
Calculated total energy = -6.045 eV per atom
V = 167.6 Å³ per cell
Magnetization = 4.14 μB/f.u.

Computed, not measured: an optimized crystal structure of Y2Mn12P7 at the PBE level of DFT.

a = 9.2931 Å, b = 9.2931 Å, c = 3.6048 Å
α = 90.00°, β = 90.00°, γ = 120.00°
Positions (direct):
1 Y 0.0000 0.0000 0.0000
2 Y 0.3333 0.6667 0.5000
3 Mn 0.0421 0.7572 0.5000
4 Mn 0.1047 0.3775 0.0000
5 Mn 0.2428 0.2849 0.5000
6 Mn 0.2728 0.8953 0.0000
7 Mn 0.4394 0.2296 0.0000
8 Mn 0.5098 0.0574 0.5000
9 Mn 0.5476 0.4902 0.5000
10 Mn 0.6225 0.7272 0.0000
11 Mn 0.7151 0.9579 0.5000
12 Mn 0.7704 0.2098 0.0000
13 Mn 0.7902 0.5606 0.0000
14 Mn 0.9426 0.4524 0.5000
15 P 0.0739 0.6129 0.0000
16 P 0.2556 0.0416 0.5000
17 P 0.3871 0.4610 0.0000
18 P 0.5390 0.9261 0.0000
19 P 0.6667 0.3333 0.5000
20 P 0.7860 0.7444 0.5000
21 P 0.9584 0.2140 0.5000

Values from the calculation:
E_form = -0.6974 eV per atom
Mass density = 6.491 g/cm3
Calculated total energy = -8.356 eV per atom
V = 269.6 Å³ per cell
Magnetization = 16.02 μB/f.u.

Computed, not measured: an optimized crystal structure of YMnP at the PBE level of DFT.

a = 3.7796 Å, b = 3.7796 Å, c = 7.1270 Å
α = 90.00°, β = 90.00°, γ = 90.00°
Positions (direct):
1 Y 0.2500 0.2500 0.1640
2 Y 0.7500 0.7500 0.8360
3 Mn 0.2500 0.7500 0.5000
4 Mn 0.7500 0.2500 0.5000
5 P 0.2500 0.2500 0.6952
6 P 0.7500 0.7500 0.3048

Values from the calculation:
E_form = -0.9232 eV per atom
Mass density = 5.702 g/cm3
Calculated total energy = -7.938 eV per atom
V = 101.8 Å³ per cell
Magnetization = 1.11 μB/f.u.

Computed, not measured: an optimized crystal structure of Y2MnP at the PBE level of DFT.

a = 6.3934 Å, b = 6.3934 Å, c = 6.3934 Å
α = 145.95°, β = 142.53°, γ = 51.52°
Positions (direct):
1 Y 0.0000 0.0000 0.0000
2 Y 0.7432 0.2432 0.5000
3 Mn 0.4520 0.4520 0.0000
4 P 0.3200 0.8200 0.5000

Values from the calculation:
E_form = -0.4690 eV per atom
Mass density = 4.947 g/cm3
Calculated total energy = -7.346 eV per atom
V = 88.5 Å³ per cell
Magnetization = 2.40 μB/f.u.

Computed, not measured: an optimized crystal structure of Y2MnP at the PBE level of DFT.

a = 4.0433 Å, b = 5.7178 Å, c = 5.7178 Å
α = 40.33°, β = 90.00°, γ = 90.00°
Positions (direct):
1 Y 0.0000 0.0000 0.0000
2 Y 0.5000 0.2864 0.2864
3 Mn 0.0000 0.7112 0.7112
4 P 0.5000 0.5752 0.5752

Values from the calculation:
E_form = -0.7229 eV per atom
Mass density = 5.119 g/cm3
Calculated total energy = -7.600 eV per atom
V = 85.5 Å³ per cell
Magnetization = 2.31 μB/f.u.

Computed, not measured: an optimized crystal structure of YMn4P at the PBE level of DFT.

a = 4.8988 Å, b = 4.8988 Å, c = 4.8988 Å
α = 60.00°, β = 60.00°, γ = 60.00°
Positions (direct):
1 Y 0.0000 0.0000 0.0000
2 Mn 0.3774 0.3774 0.3774
3 Mn 0.3774 0.3774 0.8679
4 Mn 0.3774 0.8679 0.3774
5 Mn 0.8679 0.3774 0.3774
6 P 0.7500 0.7500 0.7500

Values from the calculation:
E_form = 0.2365 eV per atom
Mass density = 6.784 g/cm3
Calculated total energy = -7.856 eV per atom
V = 83.1 Å³ per cell
Magnetization = 4.08 μB/f.u.

Computed, not measured: an optimized crystal structure of YMnP3 at the PBE level of DFT.

a = 3.7946 Å, b = 3.7946 Å, c = 15.8104 Å
α = 90.00°, β = 90.00°, γ = 120.00°
Positions (direct):
1 Y 0.0000 0.0000 0.0000
2 Y 0.0000 0.0000 0.5000
3 Mn 0.3333 0.6667 0.2500
4 Mn 0.6667 0.3333 0.7500
5 P 0.0000 0.0000 0.2500
6 P 0.0000 0.0000 0.7500
7 P 0.3333 0.6667 0.1107
8 P 0.3333 0.6667 0.3893
9 P 0.6667 0.3333 0.6107
10 P 0.6667 0.3333 0.8893

Values from the calculation:
E_form = -0.3436 eV per atom
Mass density = 3.988 g/cm3
E above lowest polymorph = 0.0 meV per atom
Calculated total energy = -6.716 eV per atom
V = 197.2 Å³ per cell
Magnetization = 0.03 μB/f.u.

Computed, not measured: an optimized crystal structure of YMn6P6 at the PBE level of DFT.

a = 5.0188 Å, b = 5.0188 Å, c = 7.7805 Å
α = 90.00°, β = 90.00°, γ = 120.00°
Positions (direct):
1 Y 0.0000 0.0000 0.0000
2 Mn 0.0000 0.0000 0.3551
3 Mn 0.0000 0.0000 0.6449
4 Mn 0.3333 0.6667 0.0000
5 Mn 0.3333 0.6667 0.5000
6 Mn 0.6667 0.3333 0.0000
7 Mn 0.6667 0.3333 0.5000
8 P 0.0000 0.5000 0.2418
9 P 0.0000 0.5000 0.7582
10 P 0.5000 0.0000 0.2418
11 P 0.5000 0.0000 0.7582
12 P 0.5000 0.5000 0.2418
13 P 0.5000 0.5000 0.7582

Values from the calculation:
E_form = -0.0259 eV per atom
Mass density = 5.913 g/cm3
E above lowest polymorph = 454.0 meV per atom
Calculated total energy = -7.252 eV per atom
V = 169.7 Å³ per cell
Magnetization = 7.32 μB/f.u.

Computed, not measured: an optimized crystal structure of Y2MnP at the PBE level of DFT.

a = 7.9111 Å, b = 7.9111 Å, c = 7.9111 Å
α = 28.27°, β = 28.27°, γ = 28.27°
Positions (direct):
1 Y 0.2384 0.2384 0.2384
2 Y 0.7616 0.7616 0.7616
3 Mn 0.0000 0.0000 0.0000
4 P 0.5000 0.5000 0.5000

Values from the calculation:
E_form = -0.4471 eV per atom
Mass density = 4.463 g/cm3
Calculated total energy = -7.324 eV per atom
V = 98.1 Å³ per cell
Magnetization = 4.01 μB/f.u.

Computed, not measured: an optimized crystal structure of YMnP3 at the PBE level of DFT.

a = 4.5202 Å, b = 4.5202 Å, c = 4.5202 Å
α = 90.00°, β = 90.00°, γ = 90.00°
Positions (direct):
1 Y 0.0000 0.0000 0.0000
2 Mn 0.5000 0.5000 0.5000
3 P 0.0000 0.5000 0.5000
4 P 0.5000 0.0000 0.5000
5 P 0.5000 0.5000 0.0000

Values from the calculation:
E_form = -0.2262 eV per atom
Mass density = 4.257 g/cm3
E above lowest polymorph = 117.4 meV per atom
Calculated total energy = -6.599 eV per atom
V = 92.4 Å³ per cell
Magnetization = 2.48 μB/f.u.

Computed, not measured: an optimized crystal structure of YMn9P4 at the PBE level of DFT.

a = 7.9312 Å, b = 7.9312 Å, c = 7.9312 Å
α = 122.75°, β = 122.75°, γ = 85.30°
Positions (direct):
1 Y 0.2500 0.2500 0.0000
2 Y 0.7500 0.7500 0.0000
3 Mn 0.0000 0.5000 0.5000
4 Mn 0.0450 0.5450 0.2356
5 Mn 0.0663 0.8112 0.8775
6 Mn 0.1888 0.0663 0.2551
7 Mn 0.1907 0.9550 0.5000
8 Mn 0.3093 0.8093 0.7644
9 Mn 0.3112 0.5663 0.8775
10 Mn 0.4337 0.3112 0.7449
11 Mn 0.4550 0.6907 0.5000
12 Mn 0.5000 0.0000 0.5000
13 Mn 0.5450 0.3093 0.5000
14 Mn 0.5663 0.6888 0.2551
15 Mn 0.6888 0.4337 0.1225
16 Mn 0.6907 0.1907 0.2356
17 Mn 0.8093 0.0450 0.5000
18 Mn 0.8112 0.9337 0.7449
19 Mn 0.9337 0.1888 0.1225
20 Mn 0.9550 0.4550 0.7644
21 P 0.0341 0.2051 0.5000
22 P 0.2051 0.7051 0.1710
23 P 0.2949 0.4659 0.5000
24 P 0.4659 0.9659 0.1710
25 P 0.5341 0.0341 0.8290
26 P 0.7051 0.5341 0.5000
27 P 0.7949 0.2949 0.8290
28 P 0.9659 0.7949 0.5000

Values from the calculation:
E_form = -0.4587 eV per atom
Mass density = 6.972 g/cm3
Calculated total energy = -8.361 eV per atom
V = 336.9 Å³ per cell
Magnetization = 1.71 μB/f.u.

Computed, not measured: an optimized crystal structure of MnZnP2 at the PBE level of DFT.

a = 4.2566 Å, b = 4.2566 Å, c = 3.4385 Å
α = 97.39°, β = 97.39°, γ = 105.03°
Positions (direct):
1 Mn 0.0000 0.0000 0.0000
2 Zn 0.5000 0.5000 0.0000
3 P 0.0000 0.5000 0.5000
4 P 0.5000 0.0000 0.5000

Values from the calculation:
E_form = 0.1799 eV per atom
Mass density = 5.147 g/cm3
Calculated total energy = -5.136 eV per atom
V = 58.8 Å³ per cell
Magnetization = 3.22 μB/f.u.

Computed, not measured: an optimized crystal structure of MnZnP2 at the PBE level of DFT.

a = 4.3578 Å, b = 4.3578 Å, c = 4.3578 Å
α = 60.00°, β = 60.00°, γ = 60.00°
Positions (direct):
1 Mn 0.0000 0.0000 0.0000
2 Zn 0.7500 0.7500 0.7500
3 P 0.2500 0.2500 0.2500
4 P 0.5000 0.5000 0.5000

Values from the calculation:
E_form = 0.4626 eV per atom
Mass density = 5.173 g/cm3
Calculated total energy = -4.853 eV per atom
V = 58.5 Å³ per cell
Magnetization = 3.21 μB/f.u.

Computed, not measured: an optimized crystal structure of Mn2ZnP at the PBE level of DFT.

a = 4.0714 Å, b = 4.0714 Å, c = 2.8057 Å
α = 90.00°, β = 90.00°, γ = 90.00°
Positions (direct):
1 Mn 0.0000 0.5000 0.0000
2 Mn 0.5000 0.0000 0.0000
3 Zn 0.0000 0.0000 0.5000
4 P 0.5000 0.5000 0.5000

Values from the calculation:
E_form = 0.0269 eV per atom
Mass density = 7.364 g/cm3
E above lowest polymorph = 153.6 meV per atom
Calculated total energy = -6.229 eV per atom
V = 46.5 Å³ per cell
Magnetization = 2.81 μB/f.u.

Computed, not measured: an optimized crystal structure of MnZnP2 at the PBE level of DFT.

a = 5.2581 Å, b = 5.2581 Å, c = 5.2581 Å
α = 140.40°, β = 140.40°, γ = 57.25°
Positions (direct):
1 Mn 0.0000 0.0000 0.0000
2 Zn 0.7500 0.2500 0.5000
3 P 0.2500 0.7500 0.5000
4 P 0.5000 0.5000 0.0000

Values from the calculation:
E_form = 0.2016 eV per atom
Mass density = 5.168 g/cm3
Calculated total energy = -5.114 eV per atom
V = 58.6 Å³ per cell
Magnetization = 3.39 μB/f.u.

Computed, not measured: an optimized crystal structure of MnZnP2 at the PBE level of DFT.

a = 4.5455 Å, b = 4.5455 Å, c = 4.5455 Å
α = 134.98°, β = 121.47°, γ = 76.76°
Positions (direct):
1 Mn 0.0000 0.0000 0.0000
2 Zn 0.5000 0.5000 0.0000
3 P 0.2468 0.7468 0.5000
4 P 0.7532 0.2532 0.5000

Values from the calculation:
E_form = 0.2126 eV per atom
Mass density = 5.493 g/cm3
Calculated total energy = -5.103 eV per atom
V = 55.1 Å³ per cell
Magnetization = 2.25 μB/f.u.

Computed, not measured: an optimized crystal structure of MnZnP2 at the PBE level of DFT.

a = 4.2274 Å, b = 4.2274 Å, c = 3.3336 Å
α = 90.00°, β = 90.00°, γ = 104.63°
Positions (direct):
1 Mn 0.0000 0.0000 0.0000
2 Zn 0.5000 0.5000 0.0000
3 P 0.0000 0.5000 0.5000
4 P 0.5000 0.0000 0.5000

Values from the calculation:
E_form = 0.1902 eV per atom
Mass density = 5.251 g/cm3
Calculated total energy = -5.126 eV per atom
V = 57.6 Å³ per cell
Magnetization = 3.19 μB/f.u.

Computed, not measured: an optimized crystal structure of MnZnP2 at the PBE level of DFT.

a = 6.5818 Å, b = 6.5818 Å, c = 6.5818 Å
α = 131.46°, β = 131.46°, γ = 71.09°
Positions (direct):
1 Mn 0.0000 0.0000 0.0000
2 Mn 0.7500 0.2500 0.5000
3 Zn 0.2500 0.7500 0.5000
4 Zn 0.5000 0.5000 0.0000
5 P 0.1042 0.6250 0.9792
6 P 0.3750 0.3542 0.4792
7 P 0.6458 0.1250 0.0208
8 P 0.8750 0.8958 0.5208

Values from the calculation:
E_form = -0.0117 eV per atom
Mass density = 3.861 g/cm3
Calculated total energy = -5.328 eV per atom
V = 156.8 Å³ per cell
Magnetization = 2.95 μB/f.u.

Computed, not measured: an optimized crystal structure of MnZnP2 at the PBE level of DFT.

a = 3.1782 Å, b = 3.1782 Å, c = 5.4402 Å
α = 90.00°, β = 90.00°, γ = 90.00°
Positions (direct):
1 Mn 0.0000 0.0000 0.0000
2 Zn 0.0000 0.0000 0.5000
3 P 0.5000 0.5000 0.2110
4 P 0.5000 0.5000 0.7890

Values from the calculation:
E_form = 0.0304 eV per atom
Mass density = 5.509 g/cm3
Calculated total energy = -5.285 eV per atom
V = 55.0 Å³ per cell
Magnetization = 1.99 μB/f.u.

Computed, not measured: an optimized crystal structure of MnZnP2 at the PBE level of DFT.

a = 7.1732 Å, b = 7.1732 Å, c = 7.1732 Å
α = 25.09°, β = 25.09°, γ = 25.09°
Positions (direct):
1 Mn 0.0000 0.0000 0.0000
2 Zn 0.7610 0.7610 0.7610
3 P 0.2566 0.2566 0.2566
4 P 0.5185 0.5185 0.5185

Values from the calculation:
E_form = 0.1726 eV per atom
Mass density = 5.184 g/cm3
Calculated total energy = -5.143 eV per atom
V = 58.4 Å³ per cell
Magnetization = 2.93 μB/f.u.

Computed, not measured: an optimized crystal structure of Mn2ZnP at the PBE level of DFT.

a = 5.0382 Å, b = 5.0382 Å, c = 5.0382 Å
α = 144.63°, β = 134.55°, γ = 58.87°
Positions (direct):
1 Mn 0.0000 0.0000 0.0000
2 Mn 0.7156 0.2156 0.5000
3 Zn 0.4412 0.4412 0.0000
4 P 0.1922 0.6922 0.5000

Values from the calculation:
E_form = -0.0239 eV per atom
Mass density = 6.551 g/cm3
E above lowest polymorph = 102.8 meV per atom
Calculated total energy = -6.280 eV per atom
V = 52.3 Å³ per cell
Magnetization = 5.09 μB/f.u.

Computed, not measured: an optimized crystal structure of MnZnP2 at the PBE level of DFT.

a = 2.7682 Å, b = 2.7682 Å, c = 7.3160 Å
α = 90.00°, β = 90.00°, γ = 90.00°
Positions (direct):
1 Mn 0.0000 0.0000 0.0000
2 Zn 0.0000 0.0000 0.5000
3 P 0.5000 0.5000 0.1860
4 P 0.5000 0.5000 0.8140

Values from the calculation:
E_form = -0.0175 eV per atom
Mass density = 5.400 g/cm3
Calculated total energy = -5.333 eV per atom
V = 56.1 Å³ per cell
Magnetization = 0.00 μB/f.u.

Computed, not measured: an optimized crystal structure of Mn2ZnP at the PBE level of DFT.

a = 2.8466 Å, b = 2.8466 Å, c = 6.2103 Å
α = 90.00°, β = 90.00°, γ = 90.00°
Positions (direct):
1 Mn 0.0000 0.0000 0.0000
2 Mn 0.5000 0.5000 0.2622
3 Zn 0.5000 0.5000 0.7353
4 P 0.0000 0.0000 0.4371

Values from the calculation:
E_form = -0.0215 eV per atom
Mass density = 6.806 g/cm3
E above lowest polymorph = 105.3 meV per atom
Calculated total energy = -6.277 eV per atom
V = 50.3 Å³ per cell
Magnetization = 1.66 μB/f.u.

Computed, not measured: an optimized crystal structure of MnZn3P at the PBE level of DFT.

a = 4.6910 Å, b = 4.6910 Å, c = 4.6910 Å
α = 90.00°, β = 90.00°, γ = 90.00°
Positions (direct):
1 Mn 0.0000 0.0000 0.0000
2 Zn 0.0000 0.0000 0.5000
3 Zn 0.0000 0.5000 0.0000
4 Zn 0.5000 0.0000 0.0000
5 P 0.5000 0.5000 0.5000

Values from the calculation:
E_form = 0.9249 eV per atom
Mass density = 4.538 g/cm3
E above lowest polymorph = 287.8 meV per atom
Calculated total energy = -2.755 eV per atom
V = 103.2 Å³ per cell
Magnetization = 3.06 μB/f.u.